Entry from Alexandria via LeMat-Bulk: a relaxed SrRh2W crystal (GGA-PBEsol).

## Properties
energy of formation = 0.519 eV per atom
density = 10901 kg/m3

a b c (Å): 4.776 4.776 4.776
angles (deg): 128.41 116.94 85.74
Fractional coordinates of all 4 atoms:
1 Sr 0.000 0.000 0.000
2 Rh 0.285 0.785 0.500
3 Rh 0.715 0.215 0.500
4 W 0.500 0.500 0.000

***

Entry from Alexandria via LeMat-Bulk: a relaxed SrRhW2 crystal (GGA-PBEsol).

## Properties
energy of formation = 0.521 eV per atom
density = 12073 kg/m3

a b c (Å): 3.191 3.191 7.538
angles (deg): 90.00 90.00 90.00
Fractional coordinates of all 4 atoms:
1 Sr 0.000 0.000 0.000
2 Rh 0.500 0.500 0.706
3 W 0.000 0.000 0.504
4 W 0.500 0.500 0.326

***

Entry from Alexandria via LeMat-Bulk: a relaxed Sr2YRh crystal (GGA-PBEsol).

## Properties
energy of formation = 0.209 eV per atom
density = 5579 kg/m3

a b c (Å): 4.474 4.474 5.458
angles (deg): 90.00 90.00 90.00
Fractional coordinates of all 4 atoms:
1 Sr 0.000 0.500 0.000
2 Sr 0.500 0.000 0.000
3 Y 0.000 0.000 0.500
4 Rh 0.500 0.500 0.500

***

Entry from Alexandria via LeMat-Bulk: a relaxed SrYRh crystal (GGA-PBEsol).

## Properties
energy of formation = 0.378 eV per atom
density = 6009 kg/m3

a b c (Å): 4.780 4.780 4.780
angles (deg): 60.00 60.00 60.00
Fractional coordinates of all 3 atoms:
1 Sr 0.000 0.000 0.000
2 Y 0.250 0.250 0.250
3 Rh 0.500 0.500 0.500

***

Entry from Alexandria via LeMat-Bulk: a relaxed SrZn2Rh2 crystal (GGA-PBEsol).

## Properties
energy of formation = -0.255 eV per atom
density = 7636 kg/m3

a b c (Å): 5.928 5.928 5.928
angles (deg): 138.01 138.01 60.89
Fractional coordinates of all 5 atoms:
1 Sr 0.000 0.000 0.000
2 Zn 0.250 0.750 0.500
3 Zn 0.750 0.250 0.500
4 Rh 0.380 0.380 0.000
5 Rh 0.620 0.620 0.000

***

Entry from Alexandria via LeMat-Bulk: a relaxed SrZn2Rh crystal (GGA-PBEsol).

## Properties
energy of formation = -0.317 eV per atom
density = 6221 kg/m3

a b c (Å): 5.864 5.864 5.864
angles (deg): 43.22 43.22 43.22
Fractional coordinates of all 4 atoms:
1 Sr 0.000 0.000 0.000
2 Zn 0.190 0.190 0.190
3 Zn 0.483 0.483 0.483
4 Rh 0.809 0.809 0.809

***

Entry from Alexandria via LeMat-Bulk: a relaxed SrZnRh2 crystal (GGA-PBEsol).

## Properties
energy of formation = 0.132 eV per atom
density = 8836 kg/m3

a b c (Å): 4.667 3.010 5.122
angles (deg): 90.00 110.41 90.00
Fractional coordinates of all 4 atoms:
1 Sr 0.000 0.000 0.000
2 Zn 0.000 0.500 0.500
3 Rh 0.500 0.000 0.500
4 Rh 0.500 0.500 0.000

***

Entry from Alexandria via LeMat-Bulk: a relaxed SrZn2Rh crystal (GGA-PBEsol).

## Properties
energy of formation = -0.315 eV per atom
density = 6350 kg/m3

a b c (Å): 4.275 4.275 5.854
angles (deg): 111.26 111.26 59.89
Fractional coordinates of all 4 atoms:
1 Sr 0.000 0.000 0.000
2 Zn 0.198 0.198 0.595
3 Zn 0.802 0.802 0.405
4 Rh 0.500 0.500 0.500